1.
## Mg2SiBr (GGA-PBEsol)

Data for crystalline Mg2SiBr at its relaxed geometry.

Properties
Raw formation energy   -0.290 eV per atom
Crystal system   orthorhombic
Raw total energy   -12.21 eV per formula unit

Lattice parameters (Å, degrees): 3.417 3.643 14.365 90.00 90.00 90.00
Space group Imm2 (No. 44)
Symmetry-distinct sites (fractional):
Mg (0.000, 0.000, 0.000)
Mg (0.000, 0.500, 0.289)
Si (0.000, 0.000, 0.423)
Br (0.000, 0.500, 0.672)

2.
## Mg2SiBr (GGA-PBEsol)

Data for crystalline Mg2SiBr at its relaxed geometry.

Properties
Raw formation energy   -0.037 eV per atom
Crystal system   orthorhombic
Raw total energy   -11.20 eV per formula unit

Lattice parameters (Å, degrees): 3.728 6.178 7.849 90.00 90.00 90.00
Space group Immm (No. 71)
Symmetry-distinct sites (fractional):
Mg (0.000, 0.000, 0.246)
Si (0.000, 0.500, 0.500)
Br (0.000, 0.500, 0.000)

3.
## MgSi2Br (GGA-PBEsol)

Data for crystalline MgSi2Br at its relaxed geometry.

Properties
Raw formation energy   0.421 eV per atom
Crystal system   orthorhombic
Raw total energy   -13.40 eV per formula unit

Lattice parameters (Å, degrees): 3.235 5.380 8.950 90.00 90.00 90.00
Space group Cmmm (No. 65)
Symmetry-distinct sites (fractional):
Mg (0.000, 0.000, 0.000)
Si (0.000, 0.500, 0.253)
Br (0.000, 0.000, 0.500)

4.
## Mg2SiBr (GGA-PBEsol)

Data for crystalline Mg2SiBr at its relaxed geometry.

Properties
Raw formation energy   -0.281 eV per atom
Crystal system   orthorhombic
Raw total energy   -12.17 eV per formula unit

Lattice parameters (Å, degrees): 4.718 3.268 10.746 90.00 90.00 90.00
Space group Amm2 (No. 38)
Symmetry-distinct sites (fractional):
Mg (0.000, 0.000, 0.000)
Mg (0.500, 0.000, 0.234)
Si (0.500, 0.000, 0.505)
Br (0.000, 0.000, 0.757)

5.
## Mg2SiBr (GGA-PBEsol)

Data for crystalline Mg2SiBr at its relaxed geometry.

Properties
Raw formation energy   -0.349 eV per atom
Crystal system   orthorhombic
Raw total energy   -12.45 eV per formula unit

Lattice parameters (Å, degrees): 3.335 4.579 5.498 90.00 90.00 90.00
Space group Pmmm (No. 47)
Symmetry-distinct sites (fractional):
Mg (0.000, 0.000, 0.000)
Mg (0.500, 0.500, 0.500)
Si (0.000, 0.000, 0.500)
Br (0.500, 0.500, 0.000)

6.
## MgSi2Br (GGA-PBEsol)

Data for crystalline MgSi2Br at its relaxed geometry.

Properties
Raw formation energy   -0.149 eV per atom
Crystal system   tetragonal
Raw total energy   -15.68 eV per formula unit

Lattice parameters (Å, degrees): 3.439 3.439 7.285 90.00 90.00 90.00
Space group P4mm (No. 99)
Symmetry-distinct sites (fractional):
Mg (0.000, 0.000, 0.000)
Si (0.000, 0.000, 0.358)
Si (0.500, 0.500, 0.312)
Br (0.500, 0.500, 0.812)

7.
## SrMgBr (GGA-PBEsol)

Data for crystalline SrMgBr at its relaxed geometry.

Properties
Raw formation energy   -0.528 eV per atom
Crystal system   cubic
Raw total energy   -7.01 eV per formula unit

Lattice parameters (Å, degrees): 7.445 7.445 7.445 90.00 90.00 90.00
Space group F-43m (No. 216)
Symmetry-distinct sites (fractional):
Sr (0.000, 0.000, 0.000)
Mg (0.000, 0.000, 0.500)
Br (0.250, 0.250, 0.250)

8.
## SrMgBr2 (GGA-PBEsol)

Data for crystalline SrMgBr2 at its relaxed geometry.

Properties
Raw formation energy   -1.087 eV per atom
Crystal system   tetragonal
Raw total energy   -11.64 eV per formula unit

Lattice parameters (Å, degrees): 5.104 5.104 4.273 90.00 90.00 90.00
Space group P4/mmm (No. 123)
Symmetry-distinct sites (fractional):
Sr (0.000, 0.000, 0.000)
Mg (0.500, 0.500, 0.000)
Br (0.000, 0.500, 0.500)

9.
## SrMgBr2 (GGA-PBEsol)

Data for crystalline SrMgBr2 at its relaxed geometry.

Properties
Raw formation energy   -0.841 eV per atom
Crystal system   cubic
Raw total energy   -10.66 eV per formula unit

Lattice parameters (Å, degrees): 7.811 7.811 7.811 90.00 90.00 90.00
Space group F-43m (No. 216)
Symmetry-distinct sites (fractional):
Sr (0.000, 0.000, 0.000)
Mg (0.250, 0.250, 0.250)
Br (0.000, 0.000, 0.500)
Br (0.250, 0.250, 0.750)

10.
## SrMg2Br (GGA-PBEsol)

Data for crystalline SrMg2Br at its relaxed geometry.

Properties
Raw formation energy   -0.400 eV per atom
Crystal system   tetragonal
Raw total energy   -8.74 eV per formula unit

Lattice parameters (Å, degrees): 9.150 9.150 6.065 90.00 90.00 90.00
Space group I-42d (No. 122)
Symmetry-distinct sites (fractional):
Sr (0.000, 0.000, 0.000)
Mg (0.210, 0.750, 0.625)
Br (0.000, 0.000, 0.500)

11.
## SrMgBr2 (GGA-PBEsol)

Data for crystalline SrMgBr2 at its relaxed geometry.

Properties
Raw formation energy   -1.168 eV per atom
Crystal system   monoclinic
Raw total energy   -11.97 eV per formula unit

Lattice parameters (Å, degrees): 14.872 3.832 4.907 90.00 108.61 90.00
Space group Cm (No. 8)
Symmetry-distinct sites (fractional):
Sr (0.000, 0.000, 0.000)
Mg (0.274, 0.000, 0.808)
Br (0.169, 0.500, 0.163)
Br (0.471, 0.000, 0.472)

12.
## MgTaBr (GGA-PBEsol)

Data for crystalline MgTaBr at its relaxed geometry.

Properties
Raw formation energy   0.433 eV per atom
Crystal system   hexagonal
Raw total energy   -14.84 eV per formula unit

Lattice parameters (Å, degrees): 4.6626 4.6626 3.0539 90.00 90.00 120.00
Space group P-6m2 (No. 187)
Symmetry-distinct sites (fractional):
Mg (0.0000, 0.0000, 0.0000)
Ta (0.3333, 0.6667, 0.5000)
Br (0.6667, 0.3333, 0.5000)

13.
## MgTa3Br (GGA-PBEsol)

Data for crystalline MgTa3Br at its relaxed geometry.

Properties
Raw formation energy   2.262 eV per atom
Crystal system   cubic
Raw total energy   -29.93 eV per formula unit

Lattice parameters (Å, degrees): 4.780 4.780 4.780 90.00 90.00 90.00
Space group Pm-3m (No. 221)
Symmetry-distinct sites (fractional):
Mg (0.000, 0.000, 0.000)
Ta (0.000, 0.000, 0.500)
Br (0.500, 0.500, 0.500)

14.
## MgTa2Br (GGA-PBEsol)

Data for crystalline MgTa2Br at its relaxed geometry.

Properties
Raw formation energy   0.585 eV per atom
Crystal system   tetragonal
Raw total energy   -26.35 eV per formula unit

Lattice parameters (Å, degrees): 3.010 3.010 7.946 90.00 90.00 90.00
Space group P4/mmm (No. 123)
Symmetry-distinct sites (fractional):
Mg (0.000, 0.000, 0.000)
Ta (0.500, 0.500, 0.270)
Br (0.000, 0.000, 0.500)

15.
## Mg2TaBr (GGA-PBEsol)

Data for crystalline Mg2TaBr at its relaxed geometry.

Properties
Raw formation energy   0.885 eV per atom
Crystal system   cubic
Raw total energy   -14.32 eV per formula unit

Lattice parameters (Å, degrees): 7.057 7.057 7.057 90.00 90.00 90.00
Space group Fm-3m (No. 225)
Symmetry-distinct sites (fractional):
Mg (0.250, 0.250, 0.250)
Ta (0.000, 0.000, 0.000)
Br (0.000, 0.000, 0.500)

16.
## Mg2TaBr (GGA-PBEsol)

Data for crystalline Mg2TaBr at its relaxed geometry.

Properties
Raw formation energy   0.442 eV per atom
Crystal system   orthorhombic
Raw total energy   -16.09 eV per formula unit

Lattice parameters (Å, degrees): 3.075 4.893 5.259 90.00 90.00 90.00
Space group Pmmm (No. 47)
Symmetry-distinct sites (fractional):
Mg (0.000, 0.000, 0.000)
Mg (0.500, 0.500, 0.000)
Ta (0.000, 0.500, 0.500)
Br (0.500, 0.000, 0.500)

17.
## Mg2TaBr (GGA-PBEsol)

Data for crystalline Mg2TaBr at its relaxed geometry.

Properties
Raw formation energy   0.717 eV per atom
Crystal system   cubic
Raw total energy   -14.99 eV per formula unit

Lattice parameters (Å, degrees): 6.841 6.841 6.841 90.00 90.00 90.00
Space group F-43m (No. 216)
Symmetry-distinct sites (fractional):
Mg (0.000, 0.000, 0.000)
Mg (0.250, 0.250, 0.250)
Ta (0.250, 0.250, 0.750)
Br (0.000, 0.000, 0.500)

18.
## MgTa2Br (GGA-PBEsol)

Data for crystalline MgTa2Br at its relaxed geometry.

Properties
Raw formation energy   0.711 eV per atom
Crystal system   tetragonal
Raw total energy   -25.85 eV per formula unit

Lattice parameters (Å, degrees): 3.905 3.905 10.069 90.00 90.00 90.00
Space group I4/mmm (No. 139)
Symmetry-distinct sites (fractional):
Mg (0.000, 0.000, 0.000)
Ta (0.000, 0.500, 0.250)
Br (0.000, 0.000, 0.500)

19.
## MgTcBr2 (GGA-PBEsol)

Data for crystalline MgTcBr2 at its relaxed geometry.

Properties
Raw formation energy   0.356 eV per atom
Crystal system   tetragonal
Raw total energy   -15.30 eV per formula unit

Lattice parameters (Å, degrees): 4.634 4.634 3.237 90.00 90.00 90.00
Space group P4/mmm (No. 123)
Symmetry-distinct sites (fractional):
Mg (0.000, 0.000, 0.000)
Tc (0.500, 0.500, 0.000)
Br (0.000, 0.500, 0.500)

20.
## MgTcBr2 (GGA-PBEsol)

Data for crystalline MgTcBr2 at its relaxed geometry.

Properties
Raw formation energy   -0.136 eV per atom
Crystal system   orthorhombic
Raw total energy   -17.27 eV per formula unit

Lattice parameters (Å, degrees): 3.321 3.654 14.765 90.00 90.00 90.00
Space group Amm2 (No. 38)
Symmetry-distinct sites (fractional):
Mg (0.000, 0.000, 0.000)
Tc (0.500, 0.000, 0.578)
Br (0.000, 0.000, 0.699)
Br (0.500, 0.000, 0.404)